A plane-wave DFT calculation with GGA-PBE was carried out for an optimized crystal structure of CaTa2O6.

The total magnetization is 0.00 μB per atom. As for the total energy: -9.0819 eV per atom. As for the density of states at the Fermi level: 0.00 states/eV/f.u. The density is 6.6 g/cm³. The value obtained for the uncorrected formation energy is -2920 meV per atom.

It has space group Fm-3m (No. 225), with a = 7.934 Å, b = 7.934 Å, c = 7.934 Å, α = 90.00°, β = 90.00° and γ = 90.00°. The distinct sites, in fractional coordinates, are Ca at (0.000, 0.000, 0.000), Ta at (0.250, 0.250, 0.250) and O at (0.000, 0.250, 0.250).



A plane-wave DFT calculation with GGA-PBE was carried out for an optimized crystal structure of TaFeCo2.

The total magnetization is 0.72 μB per atom. The offset from the most stable computed form comes out at 0.144 eV per atom. As for the total energy: -8.6612 eV per atom. As for the density of states at the Fermi level: 4.59 states/eV/f.u. The density is 11.5 g/cm³. The value obtained for the formation enthalpy at 0 K is -29 meV/atom.

It has space group P4mm (No. 99), with a = 3.083 Å, b = 3.083 Å, c = 5.376 Å, α = 90.00°, β = 90.00° and γ = 90.00°. The distinct sites, in fractional coordinates, are Ta at (0.000, 0.000, 0.000), Fe at (0.500, 0.500, 0.713), Co at (0.000, 0.000, 0.501) and Co at (0.500, 0.500, 0.244).



A plane-wave DFT calculation with GGA-PBE was carried out for an optimized crystal structure of U2Ge2S7.

The total magnetization is 0.18 μB per atom. As for the total energy: -6.2558 eV per atom. As for the density of states at the Fermi level: 11.16 states/eV/f.u. The density is 4.2 g/cm³. The value obtained for the uncorrected formation energy is -737 meV per atom.

It has space group C2/m (No. 12), with a = 7.516 Å, b = 11.152 Å, c = 8.012 Å, α = 90.00°, β = 95.85° and γ = 90.00°. The distinct sites, in fractional coordinates, are U at (0.000, 0.176, 0.000), Ge at (0.238, 0.000, 0.618), S at (0.000, 0.500, 0.500), S at (0.111, 0.000, 0.191) and S at (0.219, 0.327, 0.176).